An optimized crystal structure of Y2PtN, computed with GGA-PBE.

Density   7.49 g/cm³
Symmetry   I-42d (122)
E_form (uncorrected)   -25.714 kcal/mol of atoms
M_tot   0.0 μB per formula unit
N(E_F)   2.05 states/eV/f.u.
Volume   171.5 Å³ per cell

Cell lengths 6.1084, 6.1084, 6.1084 Å; angles 114.71, 114.71, 99.43 degrees
Fractional coordinates of all 8 atoms:
Y1 0.0549 0.6250 0.9299
Y2 0.3750 0.3049 0.4299
Y3 0.6951 0.1250 0.0701
Y4 0.8750 0.9451 0.5701
Pt1 0.2500 0.7500 0.5000
Pt2 0.5000 0.5000 0.0000
N1 0.0000 0.0000 0.0000
N2 0.7500 0.2500 0.5000